Crystalline LiCeAu at its relaxed geometry. Source: Alexandria, functional PBE.

a = 7.5603 Å, b = 4.1522 Å, c = 13.0228 Å
α = 90.00°, β = 90.99°, γ = 90.00°
Element x y z (fractional)
Li: 0.0049 0.2500 0.0793
Li: 0.1252 0.7500 0.5390
Li: 0.3684 0.2500 0.2014
Li: 0.6316 0.7500 0.7986
Li: 0.8748 0.2500 0.4610
Li: 0.9951 0.7500 0.9207
Ce: 0.0457 0.7500 0.2875
Ce: 0.3414 0.2500 0.9189
Ce: 0.4569 0.2500 0.6260
Ce: 0.5431 0.7500 0.3740
Ce: 0.6586 0.7500 0.0811
Ce: 0.9543 0.2500 0.7125
Au: 0.2457 0.7500 0.0857
Au: 0.2482 0.7500 0.7521
Au: 0.2488 0.2500 0.4190
Au: 0.7512 0.7500 0.5810
Au: 0.7518 0.2500 0.2479
Au: 0.7543 0.2500 0.9143

Output
The crystal system is monoclinic. The mass density comes out at 8.39 Mg/m³. The final energy is -75.00 eV per cell.

***

Crystalline BeCdRe2 at its relaxed geometry. Source: Alexandria, functional PBE.

a = 3.7597 Å, b = 3.7597 Å, c = 18.7645 Å
α = 90.00°, β = 90.00°, γ = 90.00°
Element x y z (fractional)
Be: 0.0000 0.0000 0.0000
Be: 0.0000 0.5000 0.2500
Be: 0.5000 0.0000 0.7500
Be: 0.5000 0.5000 0.5000
Cd: 0.0000 0.0000 0.5000
Cd: 0.0000 0.5000 0.7500
Cd: 0.5000 0.0000 0.2500
Cd: 0.5000 0.5000 0.0000
Re: 0.1986 0.7500 0.1250
Re: 0.2500 0.1986 0.8750
Re: 0.2500 0.3014 0.3750
Re: 0.3014 0.7500 0.6250
Re: 0.6986 0.2500 0.6250
Re: 0.7500 0.6986 0.3750
Re: 0.7500 0.8014 0.8750
Re: 0.8014 0.2500 0.1250

Output
The crystal system is tetragonal. The mass density comes out at 12.37 Mg/m³. The final energy is -105.05 eV per cell.

***

Number 1: energy relative to the lowest polymorph listed for this composition 0 meV per atom. Number 2: energy relative to the lowest polymorph listed for this composition 660 meV per atom.